First-principles (GGA-PBE) data for a relaxed structure of Dy7Tl2Sn2, as listed in the Alexandria database.

Calculated values
**Magnetization**: 0.0000 μB per atom
**Uncorrected energy**: -93.50 eV for the cell shown
**Density of states at the Fermi level**: 23.62 states/eV per cell

Structure (CIF):
```
data_Dy7Tl2Sn2
_cell_length_a 8.132
_cell_length_b 11.123
_cell_length_c 7.690
_cell_angle_alpha 90.00
_cell_angle_beta 90.00
_cell_angle_gamma 90.00
_symmetry_space_group_name_H-M 'C m m m'
_symmetry_Int_Tables_number 65
_symmetry_space_group_name_Hall '-C 2 2'
loop_
_atom_site_label
_atom_site_type_symbol
_atom_site_fract_x
_atom_site_fract_y
_atom_site_fract_z
_atom_site_occupancy
Dy1 Dy 0.000 0.000 0.000 1
Dy2 Dy 0.000 0.500 0.266 1
Dy3 Dy 0.250 0.250 0.284 1
Tl1 Tl 0.181 0.000 0.500 1
Sn1 Sn 0.000 0.291 0.000 1
```

---

First-principles (GGA-PBE) data for a relaxed structure of Dy7Tl4Sn, as listed in the Alexandria database.

Calculated values
**Magnetization**: 0.0000 μB per atom
**Uncorrected energy**: -94.31 eV for the cell shown
**Density of states at the Fermi level**: 21.99 states/eV per cell

Structure (CIF):
```
data_Dy7Tl4Sn
_cell_length_a 14.362
_cell_length_b 5.765
_cell_length_c 11.105
_cell_angle_alpha 90.00
_cell_angle_beta 126.95
_cell_angle_gamma 90.00
_symmetry_space_group_name_H-M 'C 1 2/m 1'
_symmetry_Int_Tables_number 12
_symmetry_space_group_name_Hall '-C 2y'
loop_
_atom_site_label
_atom_site_type_symbol
_atom_site_fract_x
_atom_site_fract_y
_atom_site_fract_z
_atom_site_occupancy
Dy1 Dy 0.000 0.000 0.000 1
Dy2 Dy 0.070 0.500 0.320 1
Dy3 Dy 0.159 0.000 0.588 1
Dy4 Dy 0.212 0.500 0.876 1
Tl1 Tl 0.066 0.000 0.771 1
Tl2 Tl 0.212 0.000 0.341 1
Sn1 Sn 0.000 0.500 0.000 1
```

---

First-principles (GGA-PBE) data for a relaxed structure of Dy4Tl5Sn, as listed in the Alexandria database.

Calculated values
**Magnetization**: 0.0000 μB per atom
**Uncorrected energy**: -70.64 eV for the cell shown
**Density of states at the Fermi level**: 14.74 states/eV per cell

Structure (CIF):
```
data_Dy4Tl5Sn
_cell_length_a 7.357
_cell_length_b 10.463
_cell_length_c 7.815
_cell_angle_alpha 90.00
_cell_angle_beta 90.00
_cell_angle_gamma 90.00
_symmetry_space_group_name_H-M 'P m m n'
_symmetry_Int_Tables_number 59
loop_
_symmetry_equiv_pos_as_xyz
'x,y,z'
'-x,-y,-z'
'-x+1/2,-y+1/2,z'
'x+1/2,y+1/2,-z'
'x+1/2,-y,-z'
'-x+1/2,y,z'
'-x,y+1/2,-z'
'x,-y+1/2,z'
loop_
_atom_site_label
_atom_site_type_symbol
_atom_site_fract_x
_atom_site_fract_y
_atom_site_fract_z
_atom_site_occupancy
Dy1 Dy 0.006 0.250 0.181 1
Dy2 Dy 0.250 0.071 0.507 1
Tl1 Tl 0.043 0.552 0.184 1
Tl2 Tl 0.250 0.750 0.485 1
Sn1 Sn 0.250 0.250 0.850 1
```

---

First-principles (GGA-PBE) data for a relaxed structure of Dy5Tl3Sn, as listed in the Alexandria database.

Calculated values
**Magnetization**: 0.0000 μB per atom
**Uncorrected energy**: -75.52 eV for the cell shown
**Density of states at the Fermi level**: 16.81 states/eV per cell

Structure (CIF):
```
data_Dy5Tl3Sn
_cell_length_a 9.4009
_cell_length_b 9.4009
_cell_length_c 6.6061
_cell_angle_alpha 90.00
_cell_angle_beta 90.00
_cell_angle_gamma 120.00
_symmetry_space_group_name_H-M 'P 63/m c m'
_symmetry_Int_Tables_number 193
_symmetry_space_group_name_Hall '-P 6c 2'
loop_
_atom_site_label
_atom_site_type_symbol
_atom_site_fract_x
_atom_site_fract_y
_atom_site_fract_z
_atom_site_occupancy
Dy1 Dy 0.0000 0.2763 0.2500 1
Dy2 Dy 0.3333 0.6667 0.0000 1
Tl1 Tl 0.0000 0.3850 0.7500 1
Sn1 Sn 0.0000 0.0000 0.0000 1
```

---

First-principles (GGA-PBE) data for a relaxed structure of Dy4TlSn, as listed in the Alexandria database.

Calculated values
**Magnetization**: 0.0000 μB per atom
**Uncorrected energy**: -103.29 eV for the cell shown
**Density of states at the Fermi level**: 25.67 states/eV per cell

Structure (CIF):
```
data_Dy4TlSn
_cell_length_a 16.904
_cell_length_b 6.077
_cell_length_c 7.465
_cell_angle_alpha 90.00
_cell_angle_beta 102.21
_cell_angle_gamma 90.00
_symmetry_space_group_name_H-M 'C 1 2/c 1'
_symmetry_Int_Tables_number 15
_symmetry_space_group_name_Hall '-C 2yc'
loop_
_atom_site_label
_atom_site_type_symbol
_atom_site_fract_x
_atom_site_fract_y
_atom_site_fract_z
_atom_site_occupancy
Dy1 Dy 0.071 0.124 0.441 1
Dy2 Dy 0.147 0.374 0.106 1
Tl1 Tl 0.250 0.250 0.500 1
Sn1 Sn 0.000 0.371 0.750 1
```

---

First-principles (GGA-PBE) data for a relaxed structure of DyTlSn2, as listed in the Alexandria database.

Calculated values
**Magnetization**: 0.0000 μB per atom
**Uncorrected energy**: -42.33 eV for the cell shown
**Density of states at the Fermi level**: 11.04 states/eV per cell

Structure (CIF):
```
data_DyTlSn2
_cell_length_a 4.9939
_cell_length_b 4.9939
_cell_length_c 24.1731
_cell_angle_alpha 90.00
_cell_angle_beta 90.00
_cell_angle_gamma 120.00
_symmetry_space_group_name_H-M 'R -3 m'
_symmetry_Int_Tables_number 166
_symmetry_space_group_name_Hall '-R 3 2"'
loop_
_atom_site_label
_atom_site_type_symbol
_atom_site_fract_x
_atom_site_fract_y
_atom_site_fract_z
_atom_site_occupancy
Dy1 Dy 0.0000 0.0000 0.0000 1
Tl1 Tl 0.0000 0.0000 0.5000 1
Sn1 Sn 0.0000 0.0000 0.3793 1
```

---

First-principles (GGA-PBE) data for a relaxed structure of Dy4Tl2Sn, as listed in the Alexandria database.

Calculated values
**Distance to the lowest polymorph of the same formula**: 0.116 eV/atom
**Magnetization**: 0.0000 μB per atom
**Density of states at the Fermi level**: 20.49 states/eV per cell

Structure (CIF):
```
data_Dy4Tl2Sn
_cell_length_a 5.2632
_cell_length_b 5.2632
_cell_length_c 26.0889
_cell_angle_alpha 90.00
_cell_angle_beta 90.00
_cell_angle_gamma 120.00
_symmetry_space_group_name_H-M 'R -3 m'
_symmetry_Int_Tables_number 166
_symmetry_space_group_name_Hall '-R 3 2"'
loop_
_atom_site_label
_atom_site_type_symbol
_atom_site_fract_x
_atom_site_fract_y
_atom_site_fract_z
_atom_site_occupancy
Dy1 Dy 0.0000 0.0000 0.1223 1
Dy2 Dy 0.0000 0.0000 0.3760 1
Tl1 Tl 0.0000 0.0000 0.2580 1
Sn1 Sn 0.0000 0.0000 0.5000 1
```

---

First-principles (GGA-PBE) data for a relaxed structure of Dy3TlSn, as listed in the Alexandria database.

Calculated values
**Magnetization**: 0.0000 μB per atom
**Uncorrected energy**: -83.62 eV for the cell shown
**Density of states at the Fermi level**: 14.46 states/eV per cell

Structure (CIF):
```
data_Dy3TlSn
_cell_length_a 16.679
_cell_length_b 4.803
_cell_length_c 8.707
_cell_angle_alpha 90.00
_cell_angle_beta 91.85
_cell_angle_gamma 90.00
_symmetry_space_group_name_H-M 'C 1 2/m 1'
_symmetry_Int_Tables_number 12
_symmetry_space_group_name_Hall '-C 2y'
loop_
_atom_site_label
_atom_site_type_symbol
_atom_site_fract_x
_atom_site_fract_y
_atom_site_fract_z
_atom_site_occupancy
Dy1 Dy 0.040 0.000 0.284 1
Dy2 Dy 0.169 0.000 0.945 1
Dy3 Dy 0.243 0.500 0.667 1
Tl1 Tl 0.146 0.500 0.167 1
Sn1 Sn 0.129 0.000 0.593 1
```